# Zr2CdRh PBE optimized geometry
data_Zr2CdRh
_space_group_name_H-M_alt 'R -3 m'
_space_group_IT_number 166
_space_group_name_Hall '-R 3 2"'
_cell_length_a 3.3418
_cell_length_b 3.3418
_cell_length_c 26.3272
_cell_angle_alpha 90.00
_cell_angle_beta 90.00
_cell_angle_gamma 120.00
loop_
_atom_site_label
_atom_site_type_symbol
_atom_site_fract_x
_atom_site_fract_y
_atom_site_fract_z
Zr1 Zr 0.0000 0.0000 0.2388
Cd1 Cd 0.0000 0.0000 0.0000
Rh1 Rh 0.0000 0.0000 0.5000
# Spin magnetization (μB per cell): 0.000
# Energy relative to the elements (eV/atom): -0.2273
# DOS(E_F) (states/eV per cell): 9.699
# Theoretical density (g/cm3): 7.78